A plane-wave DFT calculation with PBE-GGA was carried out for a geometry-optimized MgIn3I structure.

Structure (CIF):
```
data_MgIn3I
_cell_length_a 5.626
_cell_length_b 5.626
_cell_length_c 5.626
_cell_angle_alpha 90.00
_cell_angle_beta 90.00
_cell_angle_gamma 90.00
_symmetry_space_group_name_H-M 'P m -3 m'
_symmetry_Int_Tables_number 221
_symmetry_space_group_name_Hall '-P 4 2 3'
loop_
_atom_site_label
_atom_site_fract_x
_atom_site_fract_y
_atom_site_fract_z
Mg1 0.000 0.000 0.000
In1 0.000 0.000 0.500
I1 0.500 0.500 0.500
```

Calculated values
The total energy is -10.771 eV per formula unit. The value obtained for the density of states at the Fermi level is 2.84 states/eV/f.u. The energy relative to the elements, uncorrected is 0.59 eV per formula unit.


A plane-wave DFT calculation with PBE-GGA was carried out for a geometry-optimized MgIn5I8 structure.

Structure (CIF):
```
data_MgIn5I8
_cell_length_a 9.976
_cell_length_b 9.976
_cell_length_c 11.173
_cell_angle_alpha 90.00
_cell_angle_beta 90.00
_cell_angle_gamma 90.00
_symmetry_space_group_name_H-M 'I -4'
_symmetry_Int_Tables_number 82
loop_
_symmetry_equiv_pos_as_xyz
'x,y,z'
'y,-x,-z'
'-x,-y,z'
'-y,x,-z'
'x+1/2,y+1/2,z+1/2'
'y+1/2,-x+1/2,-z+1/2'
'-x+1/2,-y+1/2,z+1/2'
'-y+1/2,x+1/2,-z+1/2'
loop_
_atom_site_label
_atom_site_fract_x
_atom_site_fract_y
_atom_site_fract_z
Mg1 0.000 0.000 0.000
In1 0.000 0.500 0.750
In2 0.119 0.754 0.369
I1 0.057 0.728 0.055
I2 0.070 0.795 0.684
```

Calculated values
The total energy is -34.654 eV per formula unit. The value obtained for the density of states at the Fermi level is 4.53 states/eV/f.u. The energy relative to the elements, uncorrected is -6.97 eV per formula unit.


A plane-wave DFT calculation with PBE-GGA was carried out for a geometry-optimized Mg2In2I7 structure.

Structure (CIF):
```
data_Mg2In2I7
_cell_length_a 10.674
_cell_length_b 13.487
_cell_length_c 7.414
_cell_angle_alpha 90.00
_cell_angle_beta 99.69
_cell_angle_gamma 90.00
_symmetry_space_group_name_H-M 'C 1 2/m 1'
_symmetry_Int_Tables_number 12
loop_
_symmetry_equiv_pos_as_xyz
'x,y,z'
'-x,-y,-z'
'-x,y,-z'
'x,-y,z'
'x+1/2,y+1/2,z'
'-x+1/2,-y+1/2,-z'
'-x+1/2,y+1/2,-z'
'x+1/2,-y+1/2,z'
loop_
_atom_site_label
_atom_site_fract_x
_atom_site_fract_y
_atom_site_fract_z
Mg1 0.241 0.000 0.411
In1 0.000 0.304 0.000
I1 0.000 0.000 0.500
I2 0.100 0.500 0.254
I3 0.246 0.326 0.777
```

Calculated values
The total energy is -26.924 eV per formula unit. The value obtained for the density of states at the Fermi level is 5.04 states/eV/f.u. The energy relative to the elements, uncorrected is -7.41 eV per formula unit.